Model A:
DFT (PBE-GGA) results for RbHg2SbAu after structural relaxation.

a = 5.5182 Å, b = 5.5182 Å, c = 5.6292 Å
α = 90.00°, β = 90.00°, γ = 90.00°
Last column: magnetic moment on the atom in μB.
Fractional positions:
Hg 0.5000 0.0000 0.0000  0.02
Hg 0.0000 0.5000 0.0000  0.02
Rb 0.5000 0.5000 0.5000  0.01
Sb 0.0000 0.0000 0.5000  0.20
Au 0.0000 0.0000 0.0000  0.03

Results
For the density, the calculation gives 7.80 g cm⁻³. As for the volume: 171 Å³ per cell.

Model B:
DFT (PBE-GGA) results for RbHg2SbAu after structural relaxation.

a = 5.8815 Å, b = 5.8815 Å, c = 5.3817 Å
α = 90.00°, β = 90.00°, γ = 90.00°
Fractional positions:
Hg 0.5000 0.0000 0.0000
Rb 0.5000 0.5000 0.5000
Au 0.0000 0.0000 0.5000
Hg 0.0000 0.5000 0.0000
Sb 0.0000 0.0000 0.0000

Results
For the density, the calculation gives 7.18 g cm⁻³. As for the volume: 186 Å³ per cell.

It is model A that is the least stable of them.

Model A:
DFT (PBE-GGA) results for RbTlHg2Au after structural relaxation.

a = 5.8750 Å, b = 5.8750 Å, c = 5.5539 Å
α = 90.00°, β = 90.00°, γ = 90.00°
Fractional positions:
Au 0.0000 0.0000 0.5000
Tl 0.0000 0.0000 0.0000
Hg 0.0000 0.5000 0.0000
Rb 0.5000 0.5000 0.5000
Hg 0.5000 0.0000 0.0000

Results
For the density, the calculation gives 7.69 g cm⁻³. As for the volume: 192 Å³ per cell.

Model B:
DFT (PBE-GGA) results for RbTlHg2Au after structural relaxation.

a = 4.9043 Å, b = 5.0076 Å, c = 7.3319 Å
α = 109.97°, β = 109.54°, γ = 90.00°
Fractional positions:
Rb 0.4388 0.4388 0.8776
Tl 0.1980 0.6980 0.3960
Au 0.8264 0.8264 0.6529
Hg 0.7026 0.2026 0.4051
Hg 0.0464 0.0464 0.0927

Results
For the density, the calculation gives 9.32 g cm⁻³. As for the volume: 158 Å³ per cell.

Model C:
DFT (PBE-GGA) results for RbTlHg2Au after structural relaxation.

a = 5.5399 Å, b = 5.5399 Å, c = 5.6685 Å
α = 90.00°, β = 90.00°, γ = 90.00°
Fractional positions:
Hg 0.5000 0.0000 0.0000
Au 0.0000 0.0000 0.0000
Hg 0.0000 0.5000 0.0000
Rb 0.5000 0.5000 0.5000
Tl 0.0000 0.0000 0.5000

Results
For the density, the calculation gives 8.48 g cm⁻³. As for the volume: 174 Å³ per cell.

It is model A that is the least stable of them.

Model A:
DFT (PBE-GGA) results for ReHg2Au after structural relaxation.

a = 2.9670 Å, b = 2.9670 Å, c = 10.3583 Å
α = 90.00°, β = 90.00°, γ = 121.98°
Fractional positions:
Hg 0.5000 0.5000 0.2648
Au 0.5000 0.5000 0.7363
Re 0.0000 0.0000 0.5087
Hg 0.0000 0.0000 0.9903

Results
For the density, the calculation gives 16.84 g cm⁻³. As for the volume: 77 Å³ per cell.

Model B:
DFT (PBE-GGA) results for ReHg2Au after structural relaxation.

a = 5.1951 Å, b = 5.1951 Å, c = 5.1951 Å
α = 131.76°, β = 131.76°, γ = 70.61°
Last column: magnetic moment on the atom in μB.
Fractional positions:
Re 0.5000 0.5000 0.0000  1.83
Au 0.7500 0.2500 0.5000  0.08
Hg 0.2500 0.7500 0.5000  0.01
Hg 0.0000 0.0000 0.0000  -0.03

Results
For the density, the calculation gives 17.04 g cm⁻³. As for the volume: 76 Å³ per cell.

Model C:
DFT (PBE-GGA) results for ReHg2Au after structural relaxation.

a = 2.8855 Å, b = 2.8855 Å, c = 8.9806 Å
α = 90.00°, β = 90.00°, γ = 90.00°
Last column: magnetic moment on the atom in μB.
Fractional positions:
Re 0.5000 0.5000 0.2500  0.59
Hg 0.0000 0.0000 0.0092  0.00
Hg 0.0000 0.0000 0.4908  0.00
Au 0.5000 0.5000 0.7500  -0.01

Results
For the density, the calculation gives 17.42 g cm⁻³. As for the volume: 75 Å³ per cell.

It is model B that is the least stable of them.

Model A:
DFT (PBE-GGA) results for Re2Hg2Au after structural relaxation.

a = 3.9015 Å, b = 3.9015 Å, c = 7.1810 Å
α = 74.24°, β = 74.24°, γ = 90.00°
Fractional positions:
Hg 0.2500 0.7500 0.5000
Re 0.4151 0.4151 0.1699
Au 0.0000 0.0000 0.0000
Hg 0.7500 0.2500 0.5000
Re 0.5849 0.5849 0.8301

Results
For the density, the calculation gives 15.97 g cm⁻³. As for the volume: 101 Å³ per cell.

Model B:
DFT (PBE-GGA) results for Re2Hg2Au after structural relaxation.

a = 6.8362 Å, b = 6.8362 Å, c = 4.1770 Å
α = 90.00°, β = 90.00°, γ = 90.00°
Fractional positions:
Hg 0.6823 0.8177 0.5000
Hg 0.8177 0.3177 0.5000
Re 0.1196 0.3804 0.0000
Re 0.6196 0.1196 0.0000
Re 0.3804 0.8804 0.0000
Hg 0.3177 0.1823 0.5000
Au 0.0000 0.0000 0.0000
Hg 0.1823 0.6823 0.5000
Re 0.8804 0.6196 0.0000
Au 0.5000 0.5000 0.0000

Results
For the density, the calculation gives 16.51 g cm⁻³. As for the volume: 195 Å³ per cell.

It is model A that is the least stable of them.

Model A:
DFT (PBE-GGA) results for Hg3RhAu after structural relaxation.

a = 5.2278 Å, b = 5.2278 Å, c = 5.2278 Å
α = 90.00°, β = 90.00°, γ = 90.00°
Fractional positions:
Rh 0.5000 0.5000 0.5000
Hg 0.5000 0.0000 0.0000
Hg 0.0000 0.5000 0.0000
Au 0.0000 0.0000 0.0000
Hg 0.0000 0.0000 0.5000

Results
For the density, the calculation gives 10.48 g cm⁻³. As for the volume: 143 Å³ per cell.

Model B:
DFT (PBE-GGA) results for Hg3RhAu after structural relaxation.

a = 5.1935 Å, b = 5.1935 Å, c = 5.1935 Å
α = 90.00°, β = 90.00°, γ = 90.00°
Fractional positions:
Rh 0.0000 0.0000 0.0000
Hg 0.0000 0.5000 0.0000
Au 0.5000 0.5000 0.5000
Hg 0.5000 0.0000 0.0000
Hg 0.0000 0.0000 0.5000

Results
For the density, the calculation gives 10.69 g cm⁻³. As for the volume: 140 Å³ per cell.

It is model A that is the least stable of them.

Model A:
DFT (PBE-GGA) results for Hg2RuAu after structural relaxation.

a = 4.3014 Å, b = 4.2994 Å, c = 4.0088 Å
α = 90.00°, β = 90.00°, γ = 90.00°
Last column: magnetic moment on the atom in μB.
Fractional positions:
Hg 0.0000 0.0000 0.0000  -0.01
Ru 0.5000 0.0000 0.5000  0.66
Hg 0.5000 0.5000 0.0000  -0.01
Au 0.0000 0.5000 0.5000  0.00

Results
For the density, the calculation gives 15.66 g cm⁻³. As for the volume: 74 Å³ per cell.

Model B:
DFT (PBE-GGA) results for Hg2RuAu after structural relaxation.

a = 4.0126 Å, b = 3.0108 Å, c = 6.8491 Å
α = 64.30°, β = 90.00°, γ = 90.00°
Last column: magnetic moment on the atom in μB.
Fractional positions:
Hg 0.0000 0.9873 0.0118  -0.01
Hg 0.0000 0.5127 0.4882  -0.01
Au 0.5000 0.7500 0.7500  -0.01
Ru 0.5000 0.2500 0.2500  0.94

Results
For the density, the calculation gives 15.57 g cm⁻³. As for the volume: 75 Å³ per cell.

Model C:
DFT (PBE-GGA) results for Hg2RuAu after structural relaxation.

a = 5.0547 Å, b = 5.0547 Å, c = 3.0428 Å
α = 89.95°, β = 89.95°, γ = 106.73°
Last column: magnetic moment on the atom in μB.
Fractional positions:
Ru 0.5000 0.0000 0.5000  0.94
Au 0.0000 0.5000 0.5000  -0.03
Hg 0.5000 0.5000 0.0000  -0.02
Hg 0.0000 0.0000 0.0000  -0.02

Results
For the density, the calculation gives 15.59 g cm⁻³. As for the volume: 74 Å³ per cell.

It is model B that is the least stable of them.

Model A:
DFT (PBE-GGA) results for Hg2RuAu after structural relaxation.

a = 6.5515 Å, b = 6.5515 Å, c = 6.5515 Å
α = 153.91°, β = 137.79°, γ = 50.30°
Last column: magnetic moment on the atom in μB.
Fractional positions:
Au 0.3035 0.8035 0.5000  0.04
Ru 0.4996 0.4996 0.0000  0.80
Hg 0.7020 0.2020 0.5000  0.01
Hg 0.9949 0.9949 0.0000  -0.01

Results
For the density, the calculation gives 14.03 g cm⁻³. As for the volume: 83 Å³ per cell.

Model B:
DFT (PBE-GGA) results for Hg2RuAu after structural relaxation.

a = 9.6626 Å, b = 9.6626 Å, c = 9.6626 Å
α = 17.96°, β = 17.96°, γ = 17.96°
Last column: magnetic moment on the atom in μB.
Fractional positions:
Hg 0.0034 0.0034 0.0034  0.00
Au 0.2500 0.2500 0.2500  -0.01
Hg 0.4966 0.4966 0.4966  0.00
Ru 0.7500 0.7500 0.7500  0.85

Results
For the density, the calculation gives 15.51 g cm⁻³. As for the volume: 75 Å³ per cell.

Model C:
DFT (PBE-GGA) results for Hg2RuAu after structural relaxation.

a = 10.3610 Å, b = 10.3610 Å, c = 10.3610 Å
α = 16.39°, β = 16.39°, γ = 16.39°
Last column: magnetic moment on the atom in μB.
Fractional positions:
Au 0.2426 0.2426 0.2426  0.03
Hg 0.7594 0.7594 0.7594  0.00
Ru 0.5024 0.5024 0.5024  0.84
Hg 0.9955 0.9955 0.9955  0.00

Results
For the density, the calculation gives 15.04 g cm⁻³. As for the volume: 77 Å³ per cell.

Model D:
DFT (PBE-GGA) results for Hg2RuAu after structural relaxation.

a = 2.9926 Å, b = 4.1738 Å, c = 6.0409 Å
α = 90.00°, β = 90.00°, γ = 90.00°
Last column: magnetic moment on the atom in μB.
Fractional positions:
Hg 0.5000 0.5000 0.2759  -0.01
Au 0.5000 0.5000 0.7401  0.02
Ru 0.0000 0.0000 0.4972  1.00
Hg 0.0000 0.0000 0.9868  -0.01

Results
For the density, the calculation gives 15.39 g cm⁻³. As for the volume: 75 Å³ per cell.

It is model D that is the least stable of them.

Model A:
DFT (PBE-GGA) results for Hg2RuAu after structural relaxation.

a = 2.9908 Å, b = 2.9908 Å, c = 8.6757 Å
α = 90.00°, β = 90.00°, γ = 89.91°
Last column: magnetic moment on the atom in μB.
Fractional positions:
Ru 0.0000 0.0000 0.5106  1.51
Hg 0.5000 0.5000 0.2799  0.00
Au 0.5000 0.5000 0.7249  0.09
Hg 0.0000 0.0000 0.9845  0.02

Results
For the density, the calculation gives 14.96 g cm⁻³. As for the volume: 78 Å³ per cell.

Model B:
DFT (PBE-GGA) results for Hg2RuAu after structural relaxation.

a = 5.1913 Å, b = 5.1913 Å, c = 5.1913 Å
α = 132.34°, β = 132.34°, γ = 69.69°
Last column: magnetic moment on the atom in μB.
Fractional positions:
Hg 0.0000 0.0000 0.0000  -0.01
Hg 0.2500 0.7500 0.5000  0.00
Au 0.7500 0.2500 0.5000  0.03
Ru 0.5000 0.5000 0.0000  0.95

Results
For the density, the calculation gives 15.49 g cm⁻³. As for the volume: 75 Å³ per cell.

It is model B that is the least stable of them.